{"formula": "Pu4RhAu", "functional": "GGA-PBE", "state": "relaxed", "formation_enthalpy_0k_ev_per_fu": 4.62, "e_above_lowest_polymorph_mev_per_atom": 1016, "spacegroup": "I4_1/amd", "lattice": [[-2.458, 2.458, 9.831], [2.458, -2.458, 9.831], [2.458, 2.458, -9.831]], "species": ["Pu", "Pu", "Pu", "Pu", "Pu", "Pu", "Pu", "Pu", "Rh", "Rh", "Au", "Au"], "frac_coords": [[0.000, 0.250, 0.250], [0.000, 0.750, 0.750], [0.250, 0.000, 0.750], [0.250, 0.500, 0.250], [0.500, 0.250, 0.750], [0.500, 0.750, 0.250], [0.750, 0.000, 0.250], [0.750, 0.500, 0.750], [0.375, 0.625, 0.750], [0.625, 0.375, 0.250], [0.125, 0.875, 0.250], [0.875, 0.125, 0.750]]}

{"formula": "Mn3PW", "functional": "GGA-PBE", "state": "relaxed", "formation_enthalpy_0k_ev_per_fu": 7.76, "e_above_lowest_polymorph_mev_per_atom": 1023, "spacegroup": "Pm-3m", "lattice": [[4.611, 0.000, 0.000], [0.000, 4.611, 0.000], [0.000, 0.000, 4.611]], "species": ["Mn", "Mn", "Mn", "P", "W"], "frac_coords": [[0.000, 0.000, 0.500], [0.000, 0.500, 0.000], [0.500, 0.000, 0.000], [0.500, 0.500, 0.500], [0.000, 0.000, 0.000]]}

{"formula": "Ca3CdHg3", "functional": "GGA-PBE", "state": "relaxed", "formation_enthalpy_0k_ev_per_fu": -2.40, "e_above_lowest_polymorph_mev_per_atom": 38, "spacegroup": "P6_3/m", "lattice": [[9.228, 0.000, 0.000], [-4.614, 7.992, 0.000], [0.000, 0.000, 5.374]], "species": ["Ca", "Ca", "Ca", "Ca", "Ca", "Ca", "Cd", "Cd", "Hg", "Hg", "Hg", "Hg", "Hg", "Hg"], "frac_coords": [[0.089, 0.435, 0.250], [0.346, 0.911, 0.250], [0.435, 0.346, 0.750], [0.565, 0.654, 0.250], [0.654, 0.089, 0.750], [0.911, 0.565, 0.750], [0.333, 0.667, 0.750], [0.667, 0.333, 0.250], [0.042, 0.238, 0.750], [0.196, 0.958, 0.750], [0.238, 0.196, 0.250], [0.762, 0.804, 0.750], [0.804, 0.042, 0.250], [0.958, 0.762, 0.250]]}

{"formula": "IrN2F", "functional": "GGA-PBE", "state": "relaxed", "e_form_raw_ev_per_atom": 0.66, "e_above_lowest_polymorph_mev_per_atom": 0, "spacegroup": "R-3m", "lattice": [[1.603, 0.925, 5.287], [-1.603, 0.925, 5.287], [0.000, -1.851, 5.287]], "species": ["Ir", "N", "N", "F"], "frac_coords": [[0.000, 0.000, 0.000], [0.387, 0.387, 0.387], [0.613, 0.613, 0.613], [0.500, 0.500, 0.500]]}

{"formula": "NaZnGaPt", "functional": "GGA-PBE", "state": "relaxed", "formation_enthalpy_0k_ev_per_fu": -0.80, "spacegroup": "Amm2", "lattice": [[4.551, 0.000, 0.000], [0.000, 1.755, 4.669], [0.000, -1.755, 4.669]], "species": ["Na", "Zn", "Ga", "Pt"], "frac_coords": [[0.000, 0.000, 0.000], [0.000, 0.278, 0.278], [0.500, 0.680, 0.680], [0.500, 0.394, 0.394]]}

{"formula": "PrHfMnN3", "functional": "GGA-PBE", "state": "relaxed", "e_form_raw_ev_per_atom": -1.10, "spacegroup": "P2_1/m", "lattice": [[7.161, 0.000, 0.000], [0.000, 3.273, 0.000], [-1.807, 0.000, 7.038]], "species": ["Pr", "Pr", "Hf", "Hf", "Mn", "Mn", "N", "N", "N", "N", "N", "N"], "frac_coords": [[0.193, 0.250, 0.213], [0.807, 0.750, 0.787], [0.346, 0.750, 0.845], [0.654, 0.250, 0.155], [0.080, 0.250, 0.593], [0.920, 0.750, 0.407], [0.129, 0.250, 0.858], [0.191, 0.750, 0.509], [0.443, 0.750, 0.151], [0.557, 0.250, 0.849], [0.809, 0.250, 0.491], [0.871, 0.750, 0.142]]}

{"formula": "ZrAl2Se", "functional": "GGA-PBE", "state": "relaxed", "e_form_raw_ev_per_atom": -0.23, "spacegroup": "R-3m", "lattice": [[1.673, 0.966, 8.216], [-1.673, 0.966, 8.216], [0.000, -1.932, 8.216]], "species": ["Zr", "Al", "Al", "Se"], "frac_coords": [[0.000, 0.000, 0.000], [0.239, 0.239, 0.239], [0.761, 0.761, 0.761], [0.500, 0.500, 0.500]]}

{"formula": "TcSn3B", "functional": "GGA-PBE", "state": "relaxed", "formation_enthalpy_0k_ev_per_fu": 5.48, "e_above_lowest_polymorph_mev_per_atom": 8, "spacegroup": "Pm-3m", "lattice": [[4.717, 0.000, 0.000], [0.000, 4.717, 0.000], [0.000, 0.000, 4.717]], "species": ["Tc", "Sn", "Sn", "Sn", "B"], "frac_coords": [[0.000, 0.000, 0.000], [0.000, 0.500, 0.500], [0.500, 0.000, 0.500], [0.500, 0.500, 0.000], [0.500, 0.500, 0.500]]}

{"formula": "Ac3Ge6Pd2Rh", "functional": "GGA-PBE", "state": "relaxed", "formation_enthalpy_0k_ev_per_fu": -5.64, "spacegroup": "P-3m1", "lattice": [[6.310, 0.000, 0.000], [-3.155, 5.464, 0.000], [0.000, 0.000, 8.153]], "species": ["Ac", "Ac", "Ac", "Ge", "Ge", "Ge", "Ge", "Ge", "Ge", "Pd", "Pd", "Rh"], "frac_coords": [[0.000, 0.000, 0.000], [0.333, 0.667, 0.685], [0.667, 0.333, 0.315], [0.193, 0.387, 0.319], [0.193, 0.807, 0.319], [0.387, 0.193, 0.681], [0.613, 0.807, 0.319], [0.807, 0.193, 0.681], [0.807, 0.613, 0.681], [0.333, 0.667, 0.055], [0.667, 0.333, 0.945], [0.000, 0.000, 0.500]]}

{"formula": "Pr4MgSe5", "functional": "GGA-PBE", "state": "relaxed", "e_form_raw_ev_per_atom": -1.69, "e_above_lowest_polymorph_mev_per_atom": 0, "spacegroup": "R-3m", "lattice": [[2.083, 1.203, 17.528], [-2.083, 1.203, 17.528], [0.000, -2.405, 17.528]], "species": ["Pr", "Pr", "Pr", "Pr", "Mg", "Se", "Se", "Se", "Se", "Se"], "frac_coords": [[0.101, 0.101, 0.101], [0.298, 0.298, 0.298], [0.702, 0.702, 0.702], [0.899, 0.899, 0.899], [0.500, 0.500, 0.500], [0.000, 0.000, 0.000], [0.195, 0.195, 0.195], [0.402, 0.402, 0.402], [0.598, 0.598, 0.598], [0.805, 0.805, 0.805]]}

{"formula": "Pm2Tm3Co2", "functional": "GGA-PBE", "state": "relaxed", "formation_enthalpy_0k_ev_per_fu": -1.13, "spacegroup": "C2/m", "lattice": [[6.044, -1.804, 0.000], [6.044, 1.804, 0.000], [-3.985, 0.000, 7.993]], "species": ["Pm", "Pm", "Tm", "Tm", "Tm", "Co", "Co"], "frac_coords": [[0.169, 0.169, 0.301], [0.831, 0.831, 0.699], [0.380, 0.380, 0.074], [0.500, 0.500, 0.500], [0.620, 0.620, 0.926], [0.175, 0.175, 0.742], [0.825, 0.825, 0.258]]}

{"formula": "ZrMo2Os", "functional": "GGA-PBE", "state": "relaxed", "formation_enthalpy_0k_ev_per_fu": 0.48, "e_above_lowest_polymorph_mev_per_atom": 244, "spacegroup": "P4/mmm", "lattice": [[3.209, 0.000, 0.000], [0.000, 3.209, 0.000], [0.000, 0.000, 6.560]], "species": ["Zr", "Mo", "Mo", "Os"], "frac_coords": [[0.000, 0.000, 0.000], [0.500, 0.500, 0.267], [0.500, 0.500, 0.733], [0.000, 0.000, 0.500]]}

Copy entry 5 word for word.
{"formula": "NaZnGaPt", "functional": "GGA-PBE", "state": "relaxed", "formation_enthalpy_0k_ev_per_fu": -0.80, "spacegroup": "Amm2", "lattice": [[4.551, 0.000, 0.000], [0.000, 1.755, 4.669], [0.000, -1.755, 4.669]], "species": ["Na", "Zn", "Ga", "Pt"], "frac_coords": [[0.000, 0.000, 0.000], [0.000, 0.278, 0.278], [0.500, 0.680, 0.680], [0.500, 0.394, 0.394]]}